BaBC2Br: optimized geometry, PBE-GGA.

Computed properties:
V = 86.4 Å³ per cell
Raw formation energy = 1.63 eV/atom
Relative energy among the computed polymorphs = 0.000 eV/atom

Cell: 4.0843 5.1819 4.0843 Å, 90.00 90.00 90.00°
Last column: magnetic moment on the atom in μB.
Fractional coordinates of all 5 atoms:
C: 0.0000 0.0000 0.5000  0.30
Br: 0.0000 0.5000 0.0000  0.12
C: 0.5000 0.0000 0.0000  0.35
Ba: 0.5000 0.5000 0.5000  0.04
B: 0.0000 0.0000 0.0000  -0.06

***

BaBC2Br: optimized geometry, PBE-GGA.

Computed properties:
V = 98.1 Å³ per cell
Raw formation energy = 1.65 eV/atom
Relative energy among the computed polymorphs = 0.010 eV/atom

Cell: 3.9823 3.9823 6.1876 Å, 90.00 90.00 90.00°
Last column: magnetic moment on the atom in μB.
Fractional coordinates of all 5 atoms:
Br: 0.5000 0.5000 0.5000  0.03
C: 0.0000 0.5000 0.0000  0.32
B: 0.0000 0.0000 0.0000  -0.10
Ba: 0.0000 0.0000 0.5000  0.01
C: 0.5000 0.0000 0.0000  0.32